Model P:
4
Lattice="5.202 0.000 0.000 2.601 4.505 0.000 2.601 1.502 4.248" Properties=species:S:1:pos:R:3 comment="TbTmTlGa, optimized geometry, DFT PBE" n_ef_per_ev_cell=1.65 pbc="T T T"
Tm 5.202 3.004 2.124
Tl 7.804 4.505 3.186
Ga 2.601 1.502 1.062
Tb 0.000 0.000 0.000

Model Q:
4
Lattice="-1.196 -3.023 1.455 2.811 -0.060 2.186 -4.022 4.134 5.284" Properties=species:S:1:pos:R:3 comment="TbTmTlGa, optimized geometry, DFT PBE" n_ef_per_ev_cell=1.57 pbc="T T T"
Tl 0.357 -1.078 2.413
Tb -3.368 3.462 4.425
Tm -1.511 1.554 1.986
Ga -1.615 0.950 5.004

Quick look at relative energies in kJ/mol of atoms: model P 2.9; model Q 0.0.

Model P:
10
Lattice="-2.146 3.580 -1.153 -3.977 -4.032 -5.113 -5.301 -1.474 5.286" Properties=species:S:1:pos:R:3 comment="Tb2TmGa2, optimized geometry, DFT PBE" n_ef_per_ev_cell=11.28 pbc="T T T"
Ga -3.105 -2.678 -2.536
Ga -2.491 -1.045 1.392
Ga -6.173 -2.828 2.709
Ga -6.787 -4.461 -1.218
Tb -5.344 0.091 2.097
Tb -3.293 0.221 -1.317
Tb -6.080 -2.017 -3.077
Tb -8.131 -2.147 0.337
Tm -4.639 -2.753 0.087
Tm 0.000 0.000 0.000

Model Q:
5
Lattice="3.536 0.000 0.000 0.000 5.924 0.186 -1.768 -1.541 6.117" Properties=species:S:1:pos:R:3 comment="Tb2TmGa2, optimized geometry, DFT PBE" n_ef_per_ev_cell=5.01 pbc="T T T"
Ga 0.000 4.329 3.851
Ga 1.768 0.054 2.452
Tm 0.000 0.000 0.000
Tb 0.000 1.422 4.545
Tb 1.768 2.962 1.758

Quick look at relative energies in kJ/mol of atoms: model P 0.0; model Q 16.5.

Model P:
8
Lattice="4.206 0.000 0.000 -2.103 5.887 0.000 0.000 0.000 8.957" Properties=species:S:1:pos:R:3 comment="TbTm2Ga, optimized geometry, DFT PBE" n_ef_per_ev_cell=11.79 pbc="T T T"
Tb 0.000 0.696 6.718
Tb 2.102 5.191 2.239
Tm 2.102 1.693 0.514
Tm 2.102 1.693 3.964
Tm 0.000 4.194 8.443
Tm 0.000 4.194 4.993
Ga 2.104 2.909 6.718
Ga -0.001 2.978 2.239

Model Q:
4
Lattice="-2.619 0.336 -3.874 -3.848 -0.862 2.526 -0.532 4.591 0.757" Properties=species:S:1:pos:R:3 comment="TbTm2Ga, optimized geometry, DFT PBE" n_ef_per_ev_cell=5.19 pbc="T T T"
Tb -3.499 2.032 -0.295
Tm -0.266 2.295 0.379
Tm -1.924 -0.431 1.263
Ga -1.309 0.168 -1.937

Quick look at relative energies in kJ/mol of atoms: model P 0.0; model Q 1.2.

Model P:
4
Lattice="3.488 0.000 0.000 0.000 3.488 0.000 0.000 0.000 8.780" Properties=species:S:1:pos:R:3 comment="TbTm2Ga, optimized geometry, DFT PBE" n_ef_per_ev_cell=3.76 pbc="T T T"
Ga 1.744 1.744 0.000
Tm 0.000 0.000 6.947
Tm 0.000 0.000 1.834
Tb 1.744 1.744 4.390

Model Q:
4
Lattice="3.565 0.000 0.000 1.783 3.087 0.000 1.783 1.029 10.105" Properties=species:S:1:pos:R:3 comment="TbTm2Ga, optimized geometry, DFT PBE" n_ef_per_ev_cell=3.90 pbc="T T T"
Tb 3.565 2.058 5.043
Tm 1.783 1.029 7.952
Tm 1.783 1.029 2.153
Ga 3.565 2.058 0.010

Quick look at relative energies in kJ/mol of atoms: model P 0.0; model Q 8.8.

Model P:
9
Lattice="-1.253 3.267 -1.416 -5.027 -3.698 -4.081 -1.747 2.309 6.872" Properties=species:S:1:pos:R:3 comment="TbTm2Ga6, optimized geometry, DFT PBE" n_ef_per_ev_cell=3.38 pbc="T T T"
Tb -1.747 2.309 6.872
Ga -2.891 1.169 0.225
Ga -6.238 -1.293 -2.492
Ga -5.136 0.708 1.150
Ga -5.720 1.480 3.447
Ga -2.307 0.397 -2.072
Ga -1.790 3.170 3.867
Tm -5.187 1.571 -1.846
Tm -2.840 0.307 3.221

Model Q:
9
Lattice="4.276 0.000 0.000 0.000 6.941 0.000 -2.138 -3.470 6.617" Properties=species:S:1:pos:R:3 comment="TbTm2Ga6, optimized geometry, DFT PBE" n_ef_per_ev_cell=4.42 pbc="T T T"
Ga 2.138 4.816 2.461
Ga 2.138 2.124 2.461
Ga 0.000 1.346 4.156
Ga 2.138 5.632 0.000
Ga 0.000 -1.346 4.156
Ga 2.138 1.309 0.000
Tm 0.000 0.000 1.650
Tm 2.138 3.470 4.967
Tb 0.000 3.470 0.000

Quick look at relative energies in kJ/mol of atoms: model P 0.0; model Q 13.6.

Model P:
16
Lattice="-1.807 -4.600 0.842 1.329 -1.750 -6.708 9.162 -3.118 2.628" Properties=species:S:1:pos:R:3 comment="TbTm3Ga4, optimized geometry, DFT PBE" n_ef_per_ev_cell=6.82 pbc="T T T"
Ga 7.194 -2.781 0.323
Ga 7.869 -3.670 -3.085
Ga 4.679 -5.179 -3.324
Ga 1.490 -6.687 -3.562
Ga -0.577 -2.730 -1.229
Ga 0.815 -5.798 -0.153
Ga 4.004 -4.289 0.085
Ga 0.098 -3.619 -4.638
Tm 5.964 -4.647 2.393
Tm 6.629 -5.521 -0.961
Tm 1.390 -3.071 1.076
Tm 0.000 0.000 0.000
Tm 4.581 -1.559 1.314
Tm 2.054 -3.947 -2.278
Tb 0.664 -0.875 -3.354
Tb 5.245 -2.434 -2.040

Model Q:
8
Lattice="-0.097 1.478 3.189 -6.374 1.843 -1.048 0.652 -8.768 2.144" Properties=species:S:1:pos:R:3 comment="TbTm3Ga4, optimized geometry, DFT PBE" n_ef_per_ev_cell=3.95 pbc="T T T"
Ga -0.686 -5.607 2.577
Ga -5.133 0.160 1.708
Ga -3.133 -4.898 2.174
Ga -2.686 -0.549 2.111
Tm -3.187 0.922 -0.524
Tm -4.774 -2.567 2.983
Tm -1.045 -2.880 1.303
Tb -0.048 0.739 1.594

Quick look at relative energies in kJ/mol of atoms: model P 0.0; model Q 11.4.

Model P:
6
Lattice="-2.154 -2.613 1.038 4.379 -3.929 -0.803 1.009 4.239 6.720" Properties=species:S:1:pos:R:3 comment="Tb2TmGa3, optimized geometry, DFT PBE" n_ef_per_ev_cell=6.70 pbc="T T T"
Ga 1.810 -2.953 2.365
Ga 0.000 0.000 0.000
Ga 1.424 0.650 4.591
Tm 2.190 -1.965 -0.401
Tb -0.368 -0.983 2.806
Tb 3.602 -1.320 4.149

Model Q:
12
Lattice="5.038 0.000 0.000 -2.519 4.363 0.000 0.000 0.000 12.379" Properties=species:S:1:pos:R:3 comment="Tb2TmGa3, optimized geometry, DFT PBE" n_ef_per_ev_cell=4.64 pbc="T T T"
Tm 2.519 1.454 4.127
Tm 0.000 2.909 8.252
Ga 0.000 2.909 11.334
Ga 0.000 2.909 5.174
Ga 0.000 0.000 3.117
Ga 2.519 1.454 7.205
Ga 2.519 1.454 1.045
Ga 0.000 0.000 9.262
Tb 2.519 1.454 10.288
Tb 0.000 2.909 2.090
Tb 0.000 0.000 0.000
Tb 0.000 0.000 6.189

Quick look at relative energies in kJ/mol of atoms: model P 22.1; model Q 0.0.

Model P:
10
Lattice="-4.062 -1.225 -0.095 1.615 -5.726 4.777 -1.507 4.536 5.947" Properties=species:S:1:pos:R:3 comment="TbTm2Ga2, optimized geometry, DFT PBE" n_ef_per_ev_cell=11.09 pbc="T T T"
Tm 0.598 -2.382 5.158
Tm 0.089 -0.983 8.856
Tm -0.489 1.192 5.566
Tm 0.019 -0.207 1.868
Tb -1.224 -3.475 2.341
Tb -2.784 1.656 2.926
Ga -1.990 -1.065 4.027
Ga -1.964 -1.350 6.601
Ga -0.791 -5.107 4.870
Ga -3.163 2.692 5.759

Model Q:
10
Lattice="-1.675 1.665 -3.227 -4.265 1.889 3.187 4.731 10.452 2.938" Properties=species:S:1:pos:R:3 comment="TbTm2Ga2, optimized geometry, DFT PBE" n_ef_per_ev_cell=9.20 pbc="T T T"
Ga -0.458 8.418 3.342
Ga 2.688 11.335 3.214
Ga -3.897 2.671 -0.317
Ga -0.750 5.587 -0.445
Tb 0.550 10.321 1.323
Tb -1.758 3.685 1.575
Tm -2.389 7.349 1.315
Tm -0.181 11.252 4.660
Tm -1.028 2.754 -1.763
Tm 1.180 6.657 1.583

Quick look at relative energies in kJ/mol of atoms: model P 0.0; model Q 13.7.

Model P:
12
Lattice="5.028 0.000 0.000 -2.514 8.597 -0.741 0.000 -4.545 7.508" Properties=species:S:1:pos:R:3 comment="TbTm3Ga2, optimized geometry, DFT PBE" n_ef_per_ev_cell=9.85 pbc="T T T"
Ga 2.514 3.965 0.807
Ga 0.000 7.776 0.191
Ga 0.000 0.086 5.960
Ga 2.514 -3.725 6.576
Tb 2.514 2.139 6.416
Tb 0.000 1.912 0.351
Tm 0.000 -0.781 2.966
Tm 2.514 1.470 2.611
Tm 0.000 2.581 4.155
Tm 2.514 -1.239 5.286
Tm 0.000 5.290 1.481
Tm 2.514 4.833 3.801

Model Q:
12
Lattice="-2.771 3.456 2.014 2.563 -1.380 5.896 6.784 6.299 -1.474" Properties=species:S:1:pos:R:3 comment="TbTm3Ga2, optimized geometry, DFT PBE" n_ef_per_ev_cell=10.02 pbc="T T T"
Tm 2.815 -1.006 5.600
Tm 7.622 5.338 1.329
Tm 2.981 1.522 1.491
Tm 1.545 1.935 4.684
Tm 6.783 3.172 3.891
Tm 4.614 6.664 0.791
Ga 6.294 6.180 3.935
Ga 4.473 1.195 4.104
Ga 0.089 2.299 2.057
Ga 5.062 3.622 0.749
Tb 3.722 4.445 3.372
Tb 1.770 4.513 0.569

Quick look at relative energies in kJ/mol of atoms: model P 9.8; model Q 0.0.

Model P:
12
Lattice="4.981 0.000 0.000 0.000 6.607 0.000 0.000 0.000 9.481" Properties=species:S:1:pos:R:3 comment="Tb3YGa2, optimized geometry, DFT PBE" n_ef_per_ev_cell=11.44 pbc="T T T"
Y 2.490 3.512 5.222
Y 2.490 0.209 4.260
Tb 0.000 3.093 9.011
Tb 0.000 6.396 0.471
Tb 2.490 1.158 7.792
Tb 0.000 5.452 6.422
Tb 0.000 2.149 3.059
Tb 2.490 4.462 1.689
Ga 0.000 5.220 3.393
Ga 0.000 1.916 6.088
Ga 2.490 1.385 1.349
Ga 2.490 4.689 8.132

Model Q:
12
Lattice="-2.599 4.197 -0.996 -5.574 -5.309 4.903 6.567 4.901 3.514" Properties=species:S:1:pos:R:3 comment="Tb3YGa2, optimized geometry, DFT PBE" n_ef_per_ev_cell=10.21 pbc="T T T"
Tb -3.442 -1.122 4.253
Tb 1.836 4.910 3.168
Tb -0.211 1.040 4.931
Tb 1.821 1.599 1.984
Tb -3.427 2.190 5.437
Tb -1.395 2.749 2.489
Ga -4.003 1.123 2.444
Ga 2.398 2.666 4.977
Ga -5.884 -2.524 4.717
Ga 4.278 6.313 2.704
Y -1.325 -0.499 1.355
Y -0.281 4.287 6.065

Quick look at relative energies in kJ/mol of atoms: model P 0.0; model Q 9.7.

Model P:
8
Lattice="3.687 0.004 0.000 -1.849 6.361 0.000 0.000 0.000 9.649" Properties=species:S:1:pos:R:3 comment="Tb2YGa, optimized geometry, DFT PBE" n_ef_per_ev_cell=11.64 pbc="T T T"
Tb -0.002 4.632 9.174
Tb -0.002 4.632 5.299
Tb 1.840 1.733 4.350
Tb 1.840 1.733 0.475
Ga 1.844 3.109 7.237
Ga -0.006 3.256 2.412
Y 0.001 0.704 7.237
Y 1.837 5.661 2.412

Model Q:
4
Lattice="-0.377 4.481 1.585 -3.891 0.600 -2.620 -2.661 -1.500 3.609" Properties=species:S:1:pos:R:3 comment="Tb2YGa, optimized geometry, DFT PBE" n_ef_per_ev_cell=5.74 pbc="T T T"
Tb -1.945 0.300 -1.310
Tb -1.331 -0.750 1.804
Ga -3.464 1.790 1.287
Y -0.188 2.241 0.793

Model R:
4
Lattice="3.638 0.000 0.000 1.819 3.150 0.000 1.819 1.050 10.215" Properties=species:S:1:pos:R:3 comment="Tb2YGa, optimized geometry, DFT PBE" n_ef_per_ev_cell=3.71 pbc="T T T"
Ga 3.638 2.100 0.010
Y 3.638 2.100 5.099
Tb 1.819 1.050 2.170
Tb 1.819 1.050 8.045

Quick look at relative energies in kJ/mol of atoms: model P 0.0; model Q 4.1; model R 8.4.

Model P:
4
Lattice="3.505 0.000 0.000 1.752 3.035 0.000 1.752 1.012 11.704" Properties=species:S:1:pos:R:3 comment="Tb2YGa, optimized geometry, DFT PBE" n_ef_per_ev_cell=4.32 pbc="T T T"
Tb 5.257 3.035 3.002
Tb 1.752 1.012 8.702
Y 3.505 2.023 5.852
Ga 0.000 0.000 0.000

Model Q:
4
Lattice="-1.271 0.414 -3.281 -3.010 -1.600 0.965 -3.454 7.904 2.335" Properties=species:S:1:pos:R:3 comment="Tb2YGa, optimized geometry, DFT PBE" n_ef_per_ev_cell=4.78 pbc="T T T"
Tb -0.717 1.642 0.485
Tb -2.736 6.262 1.850
Ga -2.141 -0.593 -1.158
Y -3.868 3.358 0.010

Quick look at relative energies in kJ/mol of atoms: model P 40.7; model Q 0.0.